Record 1
4
Lattice="-1.9260 2.1148 3.9502 1.9260 -2.1148 3.9502 1.9260 2.1148 -3.9502" Properties=species:S:1:pos:R:3 comment="SbIrPt2, PBEsol geometry, DFT SCAN" e_tot_ev_per_atom=-62.072 spacegroup="No. 44" pbc="T T T"
Sb 0.0000 0.0000 0.0000
Ir 0.0000 2.1148 2.1053
Pt 1.9260 0.0000 1.8586
Pt 0.0000 0.0000 3.9453

Record 2
6
Lattice="0.0000 3.8128 3.8128 3.8128 0.0000 3.8128 3.8128 3.8128 0.0000" Properties=species:S:1:pos:R:3 comment="ZrTa4Ni, PBEsol geometry, DFT SCAN" ef_ev_per_atom=0.3784 spacegroup="No. 216" pbc="T T T"
Zr 0.0000 0.0000 0.0000
Ta 4.7745 2.8511 2.8511
Ta 2.8511 4.7745 2.8511
Ta 2.8511 2.8511 4.7745
Ta 4.7745 4.7745 4.7745
Ni 1.9064 1.9064 1.9064

Record 3
4
Lattice="2.1869 1.2626 7.6746 -2.1869 1.2626 7.6746 0.0000 -2.5252 7.6746" Properties=species:S:1:pos:R:3 comment="Sc2SnSe, PBEsol geometry, DFT SCAN" e_tot_ev_per_atom=-21.823 spacegroup="No. 166" pbc="T T T"
Sc 0.0000 0.0000 2.4383
Sc 0.0000 0.0000 20.5855
Sn 0.0000 0.0000 11.5119
Se 0.0000 0.0000 0.0000

Record 4
4
Lattice="3.4494 0.0000 0.0000 0.0000 3.5870 0.0000 0.0000 0.0000 9.9976" Properties=species:S:1:pos:R:3 comment="K2AlPt, PBEsol geometry, DFT SCAN" ef_ev_per_atom=-0.3101 spacegroup="No. 25" pbc="T T T"
K 0.0000 0.0000 0.0000
K 1.7247 1.7935 4.1088
Al 1.7247 1.7935 7.2234
Pt 0.0000 0.0000 6.7887

Which formula does entry 4 have?
K2AlPt

Number 1 is which compound?
SbIrPt2